No. 1
A crystal of Ta3PdI relaxed with PBEsol. Source: the Alexandria database, functional SCAN.

Geometry as CIF:
```
data_Ta3PdI
_chemical_formula_sum 'Ta3 Pd1 I1'
_space_group_name_H-M_alt 'P 1'
_space_group_IT_number 1
_cell_length_a 4.853
_cell_length_b 4.853
_cell_length_c 4.853
_cell_angle_alpha 90.00
_cell_angle_beta 90.00
_cell_angle_gamma 90.00
loop_
_space_group_symop_operation_xyz
'x,y,z'
loop_
_atom_site_label
_atom_site_type_symbol
_atom_site_fract_x
_atom_site_fract_y
_atom_site_fract_z
_atom_site_occupancy
Ta1 Ta 0.000 0.000 0.500 1
Ta2 Ta 0.000 0.500 0.000 1
Ta3 Ta 0.500 0.000 0.000 1
Pd1 Pd 0.000 0.000 0.000 1
I1 I 0.500 0.500 0.500 1
```

## Properties
**Space-group type**: No. 221
**Fermi-level density of states**: 4.5 states/eV per cell

No. 2
A crystal of Si2AuSe relaxed with PBEsol. Source: the Alexandria database, functional SCAN.

Geometry as CIF:
```
data_Si2AuSe
_chemical_formula_sum 'Si2 Au1 Se1'
_space_group_name_H-M_alt 'P 1'
_space_group_IT_number 1
_cell_length_a 2.781
_cell_length_b 3.336
_cell_length_c 7.274
_cell_angle_alpha 90.00
_cell_angle_beta 90.00
_cell_angle_gamma 90.00
loop_
_space_group_symop_operation_xyz
'x,y,z'
loop_
_atom_site_label
_atom_site_type_symbol
_atom_site_fract_x
_atom_site_fract_y
_atom_site_fract_z
_atom_site_occupancy
Si1 Si 0.000 0.000 0.000 1
Si2 Si 0.500 0.500 0.213 1
Au1 Au 0.000 0.000 0.434 1
Se1 Se 0.500 0.500 0.745 1
```

## Properties
**Space-group type**: No. 25
**Fermi-level density of states**: 1.9 states/eV per cell

No. 3
A crystal of NaAgS2 relaxed with PBEsol. Source: the Alexandria database, functional SCAN.

Geometry as CIF:
```
data_NaAgS2
_chemical_formula_sum 'Na2 Ag2 S4'
_space_group_name_H-M_alt 'P 1'
_space_group_IT_number 1
_cell_length_a 9.078
_cell_length_b 9.078
_cell_length_c 9.078
_cell_angle_alpha 149.49
_cell_angle_beta 149.49
_cell_angle_gamma 43.69
loop_
_space_group_symop_operation_xyz
'x,y,z'
loop_
_atom_site_label
_atom_site_type_symbol
_atom_site_fract_x
_atom_site_fract_y
_atom_site_fract_z
_atom_site_occupancy
Na1 Na 0.000 0.000 0.000 1
Na2 Na 0.750 0.250 0.500 1
Ag1 Ag 0.250 0.750 0.500 1
Ag2 Ag 0.500 0.500 0.000 1
S1 S 0.301 0.625 0.176 1
S2 S 0.375 0.551 0.676 1
S3 S 0.449 0.125 0.824 1
S4 S 0.875 0.699 0.324 1
```

## Properties
**Space-group type**: No. 122
**Fermi-level density of states**: 2.4 states/eV per cell

no.,uncorrected formation energy (eV per atom),magnetic moment (μB per formula unit),V (Å³/cell)
1,1.607,0.00,114.3
2,0.490,0.00,67.5
3,-0.209,0.00,192.2